Entry 1:
Computed, not measured: GaRu3Se at its PBEsol-relaxed geometry at the meta-GGA SCAN level of DFT.

Results
Crystal system = cubic
Spin magnetization = 0.00 μB per formula unit
Calculated volume = 88.94 Å³ per cell
Energy relative to the elements, uncorrected = 1.543 eV per atom
E_tot = -133.19 eV per cell

Cell and atoms, written as CIF:
```
data_GaRu3Se
_chemical_formula_sum 'Ga1 Ru3 Se1'
_symmetry_space_group_name_H-M 'P 1'
_symmetry_Int_Tables_number 1
_cell_length_a 4.464
_cell_length_b 4.464
_cell_length_c 4.464
_cell_angle_alpha 90.00
_cell_angle_beta 90.00
_cell_angle_gamma 90.00
loop_
_symmetry_equiv_pos_as_xyz
'x,y,z'
loop_
_atom_site_label
_atom_site_fract_x
_atom_site_fract_y
_atom_site_fract_z
Ga1 0.000 0.000 0.000
Ru1 0.000 0.000 0.500
Ru2 0.000 0.500 0.000
Ru3 0.500 0.000 0.000
Se1 0.500 0.500 0.500
```

=====

Entry 2:
Computed, not measured: Li2ZnAu at its PBEsol-relaxed geometry at the meta-GGA SCAN level of DFT.

Results
Crystal system = tetragonal
Energy of formation from the pure elements = -470 meV per atom
Spin magnetization = 0.00 μB per formula unit
Calculated volume = 113.95 Å³ per cell
E_tot = -178.66 eV per cell

Cell and atoms, written as CIF:
```
data_Li2ZnAu
_chemical_formula_sum 'Li4 Zn2 Au2'
_symmetry_space_group_name_H-M 'P 1'
_symmetry_Int_Tables_number 1
_cell_length_a 3.924
_cell_length_b 3.924
_cell_length_c 7.399
_cell_angle_alpha 90.00
_cell_angle_beta 90.00
_cell_angle_gamma 90.00
loop_
_symmetry_equiv_pos_as_xyz
'x,y,z'
loop_
_atom_site_label
_atom_site_fract_x
_atom_site_fract_y
_atom_site_fract_z
Li1 0.000 0.500 0.250
Li2 0.000 0.500 0.750
Li3 0.500 0.000 0.250
Li4 0.500 0.000 0.750
Zn1 0.000 0.000 0.000
Zn2 0.500 0.500 0.500
Au1 0.000 0.000 0.500
Au2 0.500 0.500 0.000
```

=====

Entry 3:
Computed, not measured: K2TcBr at its PBEsol-relaxed geometry at the meta-GGA SCAN level of DFT.

Results
Crystal system = tetragonal
Spin magnetization = 3.59 μB per formula unit
Calculated volume = 113.95 Å³ per cell
Energy relative to the elements, uncorrected = 0.209 eV per atom
Offset from the most stable computed form = 0 meV/atom
E_tot = -70.34 eV per cell

Cell and atoms, written as CIF:
```
data_K2TcBr
_chemical_formula_sum 'K2 Tc1 Br1'
_symmetry_space_group_name_H-M 'P 1'
_symmetry_Int_Tables_number 1
_cell_length_a 3.504
_cell_length_b 3.504
_cell_length_c 9.278
_cell_angle_alpha 90.00
_cell_angle_beta 90.00
_cell_angle_gamma 90.00
loop_
_symmetry_equiv_pos_as_xyz
'x,y,z'
loop_
_atom_site_label
_atom_site_fract_x
_atom_site_fract_y
_atom_site_fract_z
K1 0.000 0.000 0.221
K2 0.000 0.000 0.779
Tc1 0.500 0.500 0.500
Br1 0.500 0.500 0.000
```

=====

Entry 4:
Computed, not measured: SrCaRe2 at its PBEsol-relaxed geometry at the meta-GGA SCAN level of DFT.

Results
Crystal system = orthorhombic
Energy of formation from the pure elements = 557 meV per atom
Spin magnetization = 0.00 μB per formula unit
Calculated volume = 194.46 Å³ per cell
E_tot = -343.81 eV per cell

Cell and atoms, written as CIF:
```
data_SrCaRe2
_chemical_formula_sum 'Sr2 Ca2 Re4'
_symmetry_space_group_name_H-M 'P 1'
_symmetry_Int_Tables_number 1
_cell_length_a 3.668
_cell_length_b 5.212
_cell_length_c 10.174
_cell_angle_alpha 90.00
_cell_angle_beta 90.00
_cell_angle_gamma 90.00
loop_
_symmetry_equiv_pos_as_xyz
'x,y,z'
loop_
_atom_site_label
_atom_site_fract_x
_atom_site_fract_y
_atom_site_fract_z
Sr1 0.000 0.000 0.000
Sr2 0.500 0.500 0.500
Ca1 0.000 0.500 0.222
Ca2 0.500 0.000 0.722
Re1 0.000 0.000 0.426
Re2 0.000 0.500 0.781
Re3 0.500 0.000 0.281
Re4 0.500 0.500 0.926
```

=====

Entry 5:
Computed, not measured: CaMn2Zn2 at its PBEsol-relaxed geometry at the meta-GGA SCAN level of DFT.

Results
Crystal system = tetragonal
Energy of formation from the pure elements = 301 meV per atom
Spin magnetization = 3.84 μB per formula unit
Calculated volume = 164.60 Å³ per cell
E_tot = -143.40 eV per cell

Cell and atoms, written as CIF:
```
data_CaMn2Zn2
_chemical_formula_sum 'Ca2 Mn4 Zn4'
_symmetry_space_group_name_H-M 'P 1'
_symmetry_Int_Tables_number 1
_cell_length_a 4.342
_cell_length_b 4.342
_cell_length_c 8.730
_cell_angle_alpha 90.00
_cell_angle_beta 90.00
_cell_angle_gamma 90.00
loop_
_symmetry_equiv_pos_as_xyz
'x,y,z'
loop_
_atom_site_label
_atom_site_fract_x
_atom_site_fract_y
_atom_site_fract_z
Ca1 0.000 0.000 0.000
Ca2 0.500 0.500 0.500
Mn1 0.000 0.000 0.391
Mn2 0.000 0.000 0.609
Mn3 0.500 0.500 0.109
Mn4 0.500 0.500 0.891
Zn1 0.000 0.500 0.250
Zn2 0.000 0.500 0.750
Zn3 0.500 0.000 0.250
Zn4 0.500 0.000 0.750
```

=====

Entry 6:
Computed, not measured: Mo2IrOs at its PBEsol-relaxed geometry at the meta-GGA SCAN level of DFT.

Results
Crystal system = orthorhombic
Energy of formation from the pure elements = -169 meV per atom
Spin magnetization = 0.00 μB per formula unit
Calculated volume = 116.47 Å³ per cell
Offset from the most stable computed form = 7 meV/atom
E_tot = -426.85 eV per cell

Cell and atoms, written as CIF:
```
data_Mo2IrOs
_chemical_formula_sum 'Mo4 Ir2 Os2'
_symmetry_space_group_name_H-M 'P 1'
_symmetry_Int_Tables_number 1
_cell_length_a 5.486
_cell_length_b 7.757
_cell_length_c 2.737
_cell_angle_alpha 90.00
_cell_angle_beta 90.00
_cell_angle_gamma 90.00
loop_
_symmetry_equiv_pos_as_xyz
'x,y,z'
loop_
_atom_site_label
_atom_site_fract_x
_atom_site_fract_y
_atom_site_fract_z
Mo1 0.250 0.250 0.000
Mo2 0.250 0.750 0.000
Mo3 0.750 0.250 0.000
Mo4 0.750 0.750 0.000
Ir1 0.000 0.000 0.500
Ir2 0.500 0.500 0.500
Os1 0.000 0.500 0.500
Os2 0.500 0.000 0.500
```

=====

Entry 7:
Computed, not measured: Li14P2N6O3 at its PBEsol-relaxed geometry at the meta-GGA SCAN level of DFT.

Results
Crystal system = trigonal
Spin magnetization = 0.00 μB per formula unit
Calculated volume = 218.68 Å³ per cell
Energy relative to the elements, uncorrected = -1.343 eV per atom
E_tot = -162.28 eV per cell

Cell and atoms, written as CIF:
```
data_Li14P2N6O3
_chemical_formula_sum 'Li14 P2 N6 O3'
_symmetry_space_group_name_H-M 'P 1'
_symmetry_Int_Tables_number 1
_cell_length_a 5.635
_cell_length_b 5.635
_cell_length_c 7.952
_cell_angle_alpha 90.00
_cell_angle_beta 90.00
_cell_angle_gamma 120.00
loop_
_symmetry_equiv_pos_as_xyz
'x,y,z'
loop_
_atom_site_label
_atom_site_fract_x
_atom_site_fract_y
_atom_site_fract_z
Li1 0.000 0.000 0.248
Li2 0.000 0.000 0.752
Li3 0.048 0.694 0.590
Li4 0.082 0.378 0.909
Li5 0.296 0.918 0.909
Li6 0.306 0.354 0.590
Li7 0.354 0.048 0.410
Li8 0.378 0.296 0.091
Li9 0.622 0.704 0.909
Li10 0.646 0.952 0.590
Li11 0.694 0.646 0.410
Li12 0.704 0.082 0.091
Li13 0.918 0.622 0.091
Li14 0.952 0.306 0.410
P1 0.333 0.667 0.227
P2 0.667 0.333 0.773
N1 0.069 0.375 0.174
N2 0.306 0.931 0.174
N3 0.375 0.306 0.826
N4 0.625 0.694 0.174
N5 0.694 0.069 0.826
N6 0.931 0.625 0.826
O1 0.000 0.000 0.500
O2 0.333 0.667 0.447
O3 0.667 0.333 0.553
```

=====

Entry 8:
Computed, not measured: TbTlW2O8 at its PBEsol-relaxed geometry at the meta-GGA SCAN level of DFT.

Results
Crystal system = monoclinic
Spin magnetization = 0.00 μB per formula unit
Calculated volume = 317.31 Å³ per cell
Energy relative to the elements, uncorrected = -2.548 eV per atom
E_tot = -677.85 eV per cell

Cell and atoms, written as CIF:
```
data_TbTlW2O8
_chemical_formula_sum 'Tb2 Tl2 W4 O16'
_symmetry_space_group_name_H-M 'P 1'
_symmetry_Int_Tables_number 1
_cell_length_a 7.483
_cell_length_b 7.483
_cell_length_c 7.461
_cell_angle_alpha 117.63
_cell_angle_beta 117.63
_cell_angle_gamma 89.04
loop_
_symmetry_equiv_pos_as_xyz
'x,y,z'
loop_
_atom_site_label
_atom_site_fract_x
_atom_site_fract_y
_atom_site_fract_z
Tb1 0.228 0.772 0.750
Tb2 0.772 0.228 0.250
Tl1 0.209 0.791 0.250
Tl2 0.791 0.209 0.750
W1 0.300 0.306 0.769
W2 0.306 0.300 0.269
W3 0.694 0.700 0.731
W4 0.700 0.694 0.231
O1 0.044 0.209 0.187
O2 0.067 0.385 0.626
O3 0.209 0.044 0.687
O4 0.238 0.379 0.054
O5 0.369 0.585 0.528
O6 0.379 0.238 0.554
O7 0.385 0.067 0.126
O8 0.415 0.631 0.972
O9 0.585 0.369 0.028
O10 0.615 0.933 0.874
O11 0.621 0.762 0.446
O12 0.631 0.415 0.472
O13 0.762 0.621 0.946
O14 0.791 0.956 0.313
O15 0.933 0.615 0.374
O16 0.956 0.791 0.813
```

=====

Entry 9:
Computed, not measured: Zr2TePb at its PBEsol-relaxed geometry at the meta-GGA SCAN level of DFT.

Results
Crystal system = cubic
Spin magnetization = 0.00 μB per formula unit
Calculated volume = 357.61 Å³ per cell
Energy relative to the elements, uncorrected = -0.431 eV per atom
Offset from the most stable computed form = 47 meV/atom
E_tot = -704.62 eV per cell

Cell and atoms, written as CIF:
```
data_Zr2TePb
_chemical_formula_sum 'Zr8 Te4 Pb4'
_symmetry_space_group_name_H-M 'P 1'
_symmetry_Int_Tables_number 1
_cell_length_a 7.098
_cell_length_b 7.098
_cell_length_c 7.098
_cell_angle_alpha 90.00
_cell_angle_beta 90.00
_cell_angle_gamma 90.00
loop_
_symmetry_equiv_pos_as_xyz
'x,y,z'
loop_
_atom_site_label
_atom_site_fract_x
_atom_site_fract_y
_atom_site_fract_z
Zr1 0.250 0.250 0.250
Zr2 0.250 0.250 0.750
Zr3 0.250 0.750 0.250
Zr4 0.250 0.750 0.750
Zr5 0.750 0.250 0.250
Zr6 0.750 0.250 0.750
Zr7 0.750 0.750 0.250
Zr8 0.750 0.750 0.750
Te1 0.000 0.000 0.000
Te2 0.000 0.500 0.500
Te3 0.500 0.000 0.500
Te4 0.500 0.500 0.000
Pb1 0.000 0.000 0.500
Pb2 0.000 0.500 0.000
Pb3 0.500 0.000 0.000
Pb4 0.500 0.500 0.500
```

=====

Entry 10:
Computed, not measured: AsHPbSe2 at its PBEsol-relaxed geometry at the meta-GGA SCAN level of DFT.

Results
Crystal system = tetragonal
Spin magnetization = 0.00 μB per formula unit
Calculated volume = 94.08 Å³ per cell
E_tot = -137.96 eV per cell

Cell and atoms, written as CIF:
```
data_AsHPbSe2
_chemical_formula_sum 'As1 H1 Pb1 Se2'
_symmetry_space_group_name_H-M 'P 1'
_symmetry_Int_Tables_number 1
_cell_length_a 5.235
_cell_length_b 5.235
_cell_length_c 3.434
_cell_angle_alpha 90.00
_cell_angle_beta 90.00
_cell_angle_gamma 90.00
loop_
_symmetry_equiv_pos_as_xyz
'x,y,z'
loop_
_atom_site_label
_atom_site_fract_x
_atom_site_fract_y
_atom_site_fract_z
As1 0.000 0.000 0.000
H1 0.000 0.000 0.500
Pb1 0.500 0.500 0.000
Se1 0.000 0.500 0.500
Se2 0.500 0.000 0.500
```